Computed, not measured: a relaxed Cr8Co3NiS16 crystal at the PBEsol level of DFT.

Results
- Raw formation energy: -0.632 eV per atom
- M_tot: 13.77 μB per formula unit
- Density of states at the Fermi level: 0.523 states/eV/atom
- Total energy: -597.41 eV/cell

The structure in CIF format:
```
data_Cr8Co3NiS16
_chemical_formula_sum 'Cr24 Co9 Ni3 S48'
_cell_length_a 6.7496
_cell_length_b 6.7496
_cell_length_c 33.0718
_cell_angle_alpha 90.00
_cell_angle_beta 90.00
_cell_angle_gamma 120.00
_symmetry_space_group_name_H-M 'R 3 m'
_symmetry_Int_Tables_number 160
_symmetry_space_group_name_Hall 'R 3 -2"'
loop_
_atom_site_label
_atom_site_type_symbol
_atom_site_fract_x
_atom_site_fract_y
_atom_site_fract_z
Cr1 Cr 0.0000 0.0000 0.0000
Cr2 Cr 0.0000 0.0000 0.4998
Cr3 Cr 0.9996 0.4998 0.2500
Cr4 Cr 0.0012 0.5006 0.7496
Co1 Co 0.0000 0.0000 0.1874
Co2 Co 0.0000 0.0000 0.3125
Co3 Co 0.0000 0.0000 0.8122
Ni1 Ni 0.0000 0.0000 0.6873
S1 S 0.0000 0.0000 0.1227
S2 S 0.0000 0.0000 0.3772
S3 S 0.0000 0.0000 0.6223
S4 S 0.0000 0.0000 0.8769
S5 S 0.0115 0.5057 0.6241
S6 S 0.0120 0.5060 0.1241
S7 S 0.1729 0.3458 0.2090
S8 S 0.1732 0.3464 0.7089
```


Computed, not measured: a relaxed KLi2Pt crystal at the PBEsol level of DFT.

Results
- M_tot: 0.00 μB per formula unit
- Density of states at the Fermi level: 0.339 states/eV/atom
- ΔE_f: -0.2 eV per formula unit
- Total energy: -12.25 eV/cell

The structure in CIF format:
```
data_KLi2Pt
_chemical_formula_sum 'K1 Li2 Pt1'
_cell_length_a 3.301
_cell_length_b 3.301
_cell_length_c 7.667
_cell_angle_alpha 90.00
_cell_angle_beta 90.00
_cell_angle_gamma 90.00
_symmetry_space_group_name_H-M 'P 4/m m m'
_symmetry_Int_Tables_number 123
_symmetry_space_group_name_Hall '-P 4 2'
loop_
_atom_site_label
_atom_site_type_symbol
_atom_site_fract_x
_atom_site_fract_y
_atom_site_fract_z
K1 K 0.000 0.000 0.000
Li1 Li 0.500 0.500 0.349
Pt1 Pt 0.000 0.000 0.500
```


Computed, not measured: a relaxed AlTc2SeI crystal at the PBEsol level of DFT.

Results
- Raw formation energy: 1.952 eV per atom
- M_tot: 3.75 μB per formula unit
- Density of states at the Fermi level: 0.744 states/eV/atom
- Total energy: -22.48 eV/cell

The structure in CIF format:
```
data_AlTc2SeI
_chemical_formula_sum 'Al1 Tc2 Se1 I1'
_cell_length_a 4.831
_cell_length_b 4.831
_cell_length_c 5.522
_cell_angle_alpha 90.00
_cell_angle_beta 90.00
_cell_angle_gamma 90.00
_symmetry_space_group_name_H-M 'P 4/m m m'
_symmetry_Int_Tables_number 123
_symmetry_space_group_name_Hall '-P 4 2'
loop_
_atom_site_label
_atom_site_type_symbol
_atom_site_fract_x
_atom_site_fract_y
_atom_site_fract_z
Al1 Al 0.000 0.000 0.000
Tc1 Tc 0.000 0.500 0.500
Se1 Se 0.500 0.500 0.000
I1 I 0.500 0.500 0.500
```


Computed, not measured: a relaxed SbPd2 crystal at the PBEsol level of DFT.

Results
- Raw formation energy: -0.474 eV per atom
- M_tot: 0.00 μB per formula unit
- Density of states at the Fermi level: 0.240 states/eV/atom
- Total energy: -143.18 eV/cell

The structure in CIF format:
```
data_SbPd2
_chemical_formula_sum 'Sb8 Pd16'
_cell_length_a 3.373
_cell_length_b 17.513
_cell_length_c 6.936
_cell_angle_alpha 90.00
_cell_angle_beta 90.00
_cell_angle_gamma 90.00
_symmetry_space_group_name_H-M 'C m c 21'
_symmetry_Int_Tables_number 36
_symmetry_space_group_name_Hall 'C 2c -2'
loop_
_atom_site_label
_atom_site_type_symbol
_atom_site_fract_x
_atom_site_fract_y
_atom_site_fract_z
Sb1 Sb 0.000 0.057 0.000
Sb2 Sb 0.000 0.295 0.029
Pd1 Pd 0.000 0.086 0.629
Pd2 Pd 0.000 0.170 0.253
Pd3 Pd 0.000 0.324 0.406
Pd4 Pd 0.000 0.461 0.808
```